1.
RbLi2SbSe4: relaxed, PBE.

Values from the calculation:
- E_tot: -3.660 eV per atom
- Formation energy (no corrections): -0.80 eV per atom

Unit cell a=6.8407 b=6.8407 c=6.8407 alpha=116.80 beta=116.80 gamma=95.64
Last column: nearest neighbours and their distance in Å.
Positions (direct):
Se: 0.3628 0.9620 0.0000  1 Sb 2.52, 2 Li 2.71
Se: 0.9620 0.3628 0.0000  1 Sb 2.52, 2 Li 2.71
Li: 0.2500 0.7500 0.5000  4 Se 2.71
Se: 0.0380 0.0380 0.4007  1 Sb 2.52, 2 Li 2.71
Li: 0.7500 0.2500 0.5000  4 Se 2.71
Rb: 0.5000 0.5000 0.0000  8 Se 3.38-3.71
Sb: 0.0000 0.0000 0.0000  4 Se 2.52
Se: 0.6372 0.6372 0.5993  1 Sb 2.52, 2 Li 2.71

2.
Rb2LiSiSb: relaxed, PBE.

Values from the calculation:
- E_tot: -2.333 eV per atom
- Formation energy (no corrections): 0.35 eV per atom

Unit cell a=5.9461 b=5.9461 c=4.9343 alpha=90.00 beta=90.00 gamma=90.00
Last column: nearest neighbours and their distance in Å.
Positions (direct):
Sb: 0.5000 0.5000 0.5000  8 Rb 3.86, 4 Si 4.20
Rb: 0.5000 0.0000 0.0000  2 Li 2.97
Si: 0.0000 0.0000 0.5000  2 Li 2.47
Li: 0.0000 0.0000 0.0000  2 Si 2.47
Rb: 0.0000 0.5000 0.0000  2 Li 2.97

3.
RbSr2Li2Sb2: relaxed, PBE.

Values from the calculation:
- E_tot: -2.993 eV per atom
- Formation energy (no corrections): -0.65 eV per atom

Unit cell a=5.1259 b=5.1259 c=11.1108 alpha=76.66 beta=76.66 gamma=60.00
Last column: nearest neighbours and their distance in Å.
Positions (direct):
Sb: 0.7533 0.7533 0.7402  3 Li 2.96, 3 Sr 3.30
Li: 0.5818 0.5818 0.2547  3 Sb 2.96
Li: 0.4182 0.4182 0.7452  3 Sb 2.96
Sr: 0.1317 0.1317 0.6048  3 Sb 3.30, 3 Li 3.32
Sr: 0.8683 0.8683 0.3952  3 Sb 3.30, 3 Li 3.32
Sb: 0.2467 0.2467 0.2598  3 Li 2.96, 3 Sr 3.30
Rb: 0.0000 0.0000 0.0000  6 Li 4.03, 6 Sb 4.06, 2 Sr 4.23